# UV2FeO6, optimized geometry, DFT PBE with a Hubbard U
# final energy: -84.1 eV for the cell shown
data_UV2FeO6
_cell_length_a 5.363
_cell_length_b 5.385
_cell_length_c 5.749
_cell_angle_alpha 62.29
_cell_angle_beta 63.02
_cell_angle_gamma 60.17
_space_group_name_H-M_alt 'P 1'
_space_group_IT_number 1
loop_
_space_group_symop_operation_xyz
'x,y,z'
loop_
_atom_site_label
_atom_site_fract_x
_atom_site_fract_y
_atom_site_fract_z
U1 0.000 0.000 0.000
V1 0.301 0.301 0.098
V2 0.794 0.798 0.610
Fe1 0.502 0.498 0.493
O1 0.073 0.692 0.814
O2 0.188 0.592 0.319
O3 0.421 0.074 0.814
O4 0.600 0.906 0.313
O5 0.686 0.423 0.805
O6 0.909 0.183 0.312